# 1
# La2ZnAs PBE relaxed
data_La2ZnAs
_space_group_name_H-M_alt 'P 1'
_space_group_IT_number 1
_cell_length_a 8.1865
_cell_length_b 8.1865
_cell_length_c 8.1865
_cell_angle_alpha 29.42
_cell_angle_beta 29.42
_cell_angle_gamma 29.42
loop_
_space_group_symop_operation_xyz
'x,y,z'
loop_
_atom_site_label
_atom_site_type_symbol
_atom_site_fract_x
_atom_site_fract_y
_atom_site_fract_z
_atom_site_occupancy
La1 La 0.0000 0.0000 0.0000 1
La2 La 0.1925 0.1925 0.1925 1
Zn1 Zn 0.7478 0.7478 0.7478 1
As1 As 0.4404 0.4404 0.4404 1
# VASP energy (eV per cell): -17.835
# SG: R3m
# DOS at the Fermi energy (states/eV per cell): 2.9
# Energy relative to the lowest polymorph listed for this composition (kJ/mol of formula units): 119
# Energy of formation from the pure elements (meV per atom): -514

***

# 2
# Pm2ZnGa PBE relaxed
data_Pm2ZnGa
_space_group_name_H-M_alt 'P 1'
_space_group_IT_number 1
_cell_length_a 5.1903
_cell_length_b 5.1903
_cell_length_c 5.1903
_cell_angle_alpha 60.00
_cell_angle_beta 60.00
_cell_angle_gamma 60.00
loop_
_space_group_symop_operation_xyz
'x,y,z'
loop_
_atom_site_label
_atom_site_type_symbol
_atom_site_fract_x
_atom_site_fract_y
_atom_site_fract_z
_atom_site_occupancy
Pm1 Pm 0.2500 0.2500 0.2500 1
Pm2 Pm 0.7500 0.7500 0.7500 1
Zn1 Zn 0.0000 0.0000 0.0000 1
Ga1 Ga 0.5000 0.5000 0.5000 1
# VASP energy (eV per cell): -15.614
# SG: Fm-3m
# DOS at the Fermi energy (states/eV per cell): 4.4
# Energy relative to the lowest polymorph listed for this composition (kJ/mol of formula units): 0
# Energy of formation from the pure elements (meV per atom): -453

***

# 3
# PrY3Ni2 PBE relaxed
data_PrY3Ni2
_space_group_name_H-M_alt 'P 1'
_space_group_IT_number 1
_cell_length_a 8.3861
_cell_length_b 8.3861
_cell_length_c 11.6315
_cell_angle_alpha 122.68
_cell_angle_beta 122.68
_cell_angle_gamma 27.07
loop_
_space_group_symop_operation_xyz
'x,y,z'
loop_
_atom_site_label
_atom_site_type_symbol
_atom_site_fract_x
_atom_site_fract_y
_atom_site_fract_z
_atom_site_occupancy
Pr1 Pr 0.1515 0.1515 0.2452 1
Pr2 Pr 0.8485 0.8485 0.7548 1
Y1 Y 0.1545 0.1545 0.7476 1
Y2 Y 0.4161 0.4161 0.0622 1
Y3 Y 0.4189 0.4189 0.5559 1
Y4 Y 0.5811 0.5811 0.4441 1
Y5 Y 0.5839 0.5839 0.9378 1
Y6 Y 0.8455 0.8455 0.2524 1
Ni1 Ni 0.2321 0.2321 0.0464 1
Ni2 Ni 0.2319 0.2319 0.5485 1
Ni3 Ni 0.7681 0.7681 0.4515 1
Ni4 Ni 0.7679 0.7679 0.9536 1
# VASP energy (eV per cell): -74.501
# SG: C2/m
# DOS at the Fermi energy (states/eV per cell): 13.9
# Energy of formation from the pure elements (meV per atom): -253

***

# 4
# ZrTc2Sb2 PBE relaxed
data_ZrTc2Sb2
_space_group_name_H-M_alt 'P 1'
_space_group_IT_number 1
_cell_length_a 7.6220
_cell_length_b 7.6220
_cell_length_c 3.2752
_cell_angle_alpha 90.00
_cell_angle_beta 90.00
_cell_angle_gamma 90.00
loop_
_space_group_symop_operation_xyz
'x,y,z'
loop_
_atom_site_label
_atom_site_type_symbol
_atom_site_fract_x
_atom_site_fract_y
_atom_site_fract_z
_atom_site_occupancy
Zr1 Zr 0.0000 0.0000 0.0000 1
Zr2 Zr 0.5000 0.5000 0.0000 1
Tc1 Tc 0.1349 0.3651 0.0000 1
Tc2 Tc 0.3651 0.8651 0.0000 1
Tc3 Tc 0.6349 0.1349 0.0000 1
Tc4 Tc 0.8651 0.6349 0.0000 1
Sb1 Sb 0.1629 0.6629 0.5000 1
Sb2 Sb 0.3371 0.1629 0.5000 1
Sb3 Sb 0.6629 0.8371 0.5000 1
Sb4 Sb 0.8371 0.3371 0.5000 1
# VASP energy (eV per cell): -74.883
# SG: P4/mbm
# DOS at the Fermi energy (states/eV per cell): 11.4
# Formation energy from raw total energies (eV/atom): 0.02

***

- Which of these has the lowest DOS at the Fermi energy?
  La2ZnAs

***

- VASP energy of number 4 (ZrTc2Sb2)?
  -74.883 eV per cell

***

What did the second record say?
# Pm2ZnGa PBE relaxed
data_Pm2ZnGa
_space_group_name_H-M_alt 'P 1'
_space_group_IT_number 1
_cell_length_a 5.1903
_cell_length_b 5.1903
_cell_length_c 5.1903
_cell_angle_alpha 60.00
_cell_angle_beta 60.00
_cell_angle_gamma 60.00
loop_
_space_group_symop_operation_xyz
'x,y,z'
loop_
_atom_site_label
_atom_site_type_symbol
_atom_site_fract_x
_atom_site_fract_y
_atom_site_fract_z
_atom_site_occupancy
Pm1 Pm 0.2500 0.2500 0.2500 1
Pm2 Pm 0.7500 0.7500 0.7500 1
Zn1 Zn 0.0000 0.0000 0.0000 1
Ga1 Ga 0.5000 0.5000 0.5000 1
# VASP energy (eV per cell): -15.614
# SG: Fm-3m
# DOS at the Fermi energy (states/eV per cell): 4.4
# Energy relative to the lowest polymorph listed for this composition (kJ/mol of formula units): 0
# Energy of formation from the pure elements (meV per atom): -453